Below is Ac2Tc2O5 after structural relaxation, with properties calculated at the PBE level.

As for the energy relative to the lowest polymorph listed for this composition: 0 meV/atom. As for the total magnetization: 2.38 μB per cell. Its final energy is -7.99 eV/atom.

It has space group P4/mmm (No. 123), with a = 4.0810 Å, b = 4.0810 Å, c = 7.2692 Å, α = 90.00°, β = 90.00° and γ = 90.00°. Symmetry generates all atoms from Ac at (0.0000, 0.0000, 0.0000), Ac at (0.0000, 0.0000, 0.5000), Tc at (0.5000, 0.5000, 0.1865), O at (0.0000, 0.5000, 0.2326) and O at (0.5000, 0.5000, 0.5000).